[1]
VASP calculation (GGA-PBE) on an optimized crystal structure of NdNpN2.

Properties
Fermi-level density of states = 5.1 states/eV/f.u.
uncorrected energy = -9.13 eV per atom
calculated volume = 56.3 Å³/f.u.
E_form (uncorrected) = -0.5428 eV/atom
SG = P4/mmm (123)

Cell lengths 3.032, 3.032, 6.120 Å; angles 90.00, 90.00, 90.00 degrees
Sites, in units of the cell vectors:
Nd: 0.000 0.000 0.000
Np: 0.000 0.000 0.500
N: 0.500 0.500 0.268
N: 0.500 0.500 0.732


[2]
VASP calculation (GGA-PBE) on an optimized crystal structure of In5Cu.

Properties
Fermi-level density of states = 2.4 states/eV/f.u.
uncorrected energy = -2.85 eV per atom
calculated volume = 145.7 Å³/f.u.
SG = Cmmm (65)
E_form = 119 meV/atom

Cell lengths 7.222, 7.222, 4.630 Å; angles 90.00, 90.00, 142.90 degrees
Sites, in units of the cell vectors:
In: 0.000 0.000 0.000
In: 0.157 0.843 0.500
In: 0.342 0.658 0.000
In: 0.658 0.342 0.000
In: 0.843 0.157 0.500
Cu: 0.500 0.500 0.500